KLaHg2Ru | GGA-PBE | relaxed

Cell and atoms, written as CIF:
```
data_KLaHg2Ru
_cell_length_a 5.545
_cell_length_b 5.545
_cell_length_c 5.013
_cell_angle_alpha 90.00
_cell_angle_beta 90.00
_cell_angle_gamma 90.00
_symmetry_space_group_name_H-M 'P 4/m m m'
_symmetry_Int_Tables_number 123
_symmetry_space_group_name_Hall '-P 4 2'
loop_
_atom_site_label
_atom_site_type_symbol
_atom_site_fract_x
_atom_site_fract_y
_atom_site_fract_z
K1 K 0.000 0.000 0.000
La1 La 0.500 0.500 0.000
Hg1 Hg 0.000 0.500 0.500
Ru1 Ru 0.500 0.500 0.500
```

Results
ΔE_f in kJ per mole of atoms: -14

HfReTc2Sn | GGA-PBE | relaxed

Cell and atoms, written as CIF:
```
data_HfReTc2Sn
_cell_length_a 4.719
_cell_length_b 4.719
_cell_length_c 5.020
_cell_angle_alpha 90.00
_cell_angle_beta 90.00
_cell_angle_gamma 90.00
_symmetry_space_group_name_H-M 'P 4/m m m'
_symmetry_Int_Tables_number 123
_symmetry_space_group_name_Hall '-P 4 2'
loop_
_atom_site_label
_atom_site_type_symbol
_atom_site_fract_x
_atom_site_fract_y
_atom_site_fract_z
Hf1 Hf 0.000 0.000 0.000
Re1 Re 0.000 0.000 0.500
Tc1 Tc 0.000 0.500 0.500
Sn1 Sn 0.500 0.500 0.000
```

Results
ΔE_f in kJ per mole of atoms: 102

AlSiTc2Pt | GGA-PBE | relaxed

Cell and atoms, written as CIF:
```
data_AlSiTc2Pt
_cell_length_a 4.489
_cell_length_b 4.489
_cell_length_c 4.391
_cell_angle_alpha 90.00
_cell_angle_beta 90.00
_cell_angle_gamma 90.00
_symmetry_space_group_name_H-M 'P 4/m m m'
_symmetry_Int_Tables_number 123
_symmetry_space_group_name_Hall '-P 4 2'
loop_
_atom_site_label
_atom_site_type_symbol
_atom_site_fract_x
_atom_site_fract_y
_atom_site_fract_z
Al1 Al 0.000 0.000 0.000
Si1 Si 0.500 0.500 0.500
Tc1 Tc 0.000 0.500 0.000
Pt1 Pt 0.000 0.000 0.500
```

Results
Formation energy without anion corrections in eV/atom: 1.135

Number 1: M_tot 0.000 μB/cell. Number 2: M_tot 1.090 μB/cell. Number 3: M_tot 1.063 μB/cell.